[1]
# Sc2BeSb

A relaxed Sc2BeSb crystal (PBE, Alexandria via LeMat-Bulk).

Properties
D(E_F) in states/eV per cell: 2.63
Uncorrected formation energy in eV per atom: -0.132
Electronic total energy in Ry/atom: -0.3866
Theoretical density in g cm⁻³: 4.3

a b c (Å): 3.8651 3.8651 5.7381
angles (deg): 90.00 90.00 90.00
Closest atoms and distances in Å follow each position.
Space group P4mm (No. 99)
One atom of each set of equivalent atoms:
Sc  0.0000  0.0000  0.0000  1 Be 2.71, 4 Sb 2.96
Sc  0.5000  0.5000  0.3108  2 Sb 2.81-2.92, 4 Be 2.88
Be  0.0000  0.0000  0.4717  5 Sc 2.71-2.88
Sb  0.5000  0.5000  0.8013  6 Sc 2.81-2.96

=====

[2]
# Ce2In2Sn

A relaxed Ce2In2Sn crystal (PBE, Alexandria via LeMat-Bulk).

Properties
D(E_F) in states/eV per cell: 28.02
ΔE_f in eV per atom: -0.2459
Electronic total energy in Ry/atom: -0.3319
Theoretical density in g cm⁻³: 7.2

a b c (Å): 5.1898 5.1898 12.4274
angles (deg): 90.00 90.00 120.00
Closest atoms and distances in Å follow each position.
Space group P6_3/mmc (No. 194)
One atom of each set of equivalent atoms:
Ce  0.3333  0.6667  0.1065  6 In 3.28-3.49, 3 Sn 3.49, 1 Ce 3.57
In  0.0000  0.0000  0.0000  2 Sn 3.11, 6 Ce 3.28
In  0.3333  0.6667  0.7500  3 Sn 3.00
Sn  0.0000  0.0000  0.2500  5 In 3.00-3.11

=====

[3]
# HgCO2F

A relaxed HgCO2F crystal (PBE, Alexandria via LeMat-Bulk).

Properties
D(E_F) in states/eV per cell: 3.20
Uncorrected formation energy in eV per atom: 1.619
Electronic total energy in Ry/atom: -0.1943
Theoretical density in g cm⁻³: 5.8

a b c (Å): 4.1885 4.1885 4.2970
angles (deg): 90.00 90.00 90.00
Closest atoms and distances in Å follow each position.
Space group P4/mmm (No. 123)
One atom of each set of equivalent atoms:
Hg  0.0000  0.0000  0.0000  4 O 2.09, 2 F 2.15
C  0.5000  0.5000  0.5000  4 F 2.96, 8 O 3.00
O  0.0000  0.5000  0.0000  2 Hg 2.09
F  0.0000  0.0000  0.5000  2 Hg 2.15

=====

[4]
# AcPmPrEu

A relaxed AcPmPrEu crystal (PBE, Alexandria via LeMat-Bulk).

Properties
D(E_F) in states/eV per cell: 23.60
ΔE_f in eV per atom: 0.1195
Electronic total energy in Ry/atom: -0.4306
Theoretical density in g cm⁻³: 7.1

a b c (Å): 8.5469 8.5469 8.5469
angles (deg): 90.00 90.00 90.00
Closest atoms and distances in Å follow each position.
Space group F-43m (No. 216)
One atom of each set of equivalent atoms:
Ac  0.0000  0.0000  0.0000  4 Pm 3.70, 4 Eu 3.70
Pm  0.2500  0.2500  0.2500  4 Ac 3.70, 4 Pr 3.70
Pr  0.0000  0.0000  0.5000  4 Eu 3.70, 4 Pm 3.70
Eu  0.2500  0.2500  0.7500  4 Ac 3.70, 4 Pr 3.70

=====

[5]
# La3Pm2Dy6Ho

A relaxed La3Pm2Dy6Ho crystal (PBE, Alexandria via LeMat-Bulk).

Properties
D(E_F) in states/eV per cell: 31.10
ΔE_f in eV per atom: 0.0167
Electronic total energy in Ry/atom: -0.3447
Theoretical density in g cm⁻³: 7.7

a b c (Å): 6.2651 10.8544 11.8904
angles (deg): 90.00 100.10 90.00
Closest atoms and distances in Å follow each position.
Space group C2/m (No. 12)
One atom of each set of equivalent atoms:
La  0.0000  0.0000  0.0000  6 La 3.61-3.62, 6 Dy 3.63
La  0.0000  0.3330  0.0000  6 La 3.61-3.63, 6 Dy 3.63
Pm  0.0000  0.1665  0.5000  6 Dy 3.56, 3 Pm 3.61-3.62, 3 Ho 3.62
Dy  0.2483  0.3336  0.7464  1 Ho 3.56, 2 Pm 3.56, 6 Dy 3.61-3.62, 3 La 3.63
Dy  0.2493  0.0000  0.7466  1 Ho 3.56, 2 Pm 3.56, 6 Dy 3.61-3.62, 3 La 3.63
Ho  0.0000  0.5000  0.5000  6 Dy 3.56, 6 Pm 3.62

=====

[6]
# Al2GePd8

A relaxed Al2GePd8 crystal (PBE, Alexandria via LeMat-Bulk).

Properties
D(E_F) in states/eV per cell: 6.99
ΔE_f in eV per atom: -0.5631
Electronic total energy in Ry/atom: -0.3998
Theoretical density in g cm⁻³: 9.6

a b c (Å): 4.1499 7.0950 11.4326
angles (deg): 90.00 90.00 90.00
Closest atoms and distances in Å follow each position.
Space group Immm (No. 71)
One atom of each set of equivalent atoms:
Al  0.0000  0.0000  0.1935  10 Pd 2.57-2.82
Ge  0.0000  0.0000  0.5000  8 Pd 2.62-2.68
Pd  0.0000  0.1856  0.0000  2 Al 2.57, 7 Pd 2.63-2.77
Pd  0.0000  0.2771  0.3409  3 Al 2.59-2.64, 1 Ge 2.68, 5 Pd 2.77-2.87
Pd  0.0000  0.5000  0.1395  2 Ge 2.62, 8 Pd 2.74-2.87, 2 Al 2.82

=====

[7]
# ErTmCdCu

A relaxed ErTmCdCu crystal (PBE, Alexandria via LeMat-Bulk).

Properties
D(E_F) in states/eV per cell: 2.98
ΔE_f in eV per atom: -0.2919
Electronic total energy in Ry/atom: -0.2795
Theoretical density in g cm⁻³: 9.3

a b c (Å): 3.4618 3.4618 7.6110
angles (deg): 90.00 90.00 90.00
Closest atoms and distances in Å follow each position.
Space group P4mm (No. 99)
One atom of each set of equivalent atoms:
Er  0.0000  0.0000  0.0000  4 Cu 2.98, 4 Cd 3.25
Tm  0.0000  0.0000  0.5593  4 Cu 2.96, 4 Cd 3.24
Cd  0.5000  0.5000  0.2811  4 Tm 3.24, 4 Er 3.25, 4 Cd 3.46
Cu  0.5000  0.5000  0.7771  4 Tm 2.96, 4 Er 2.98

=====

[8]
# Sm8HC3Cl4

A relaxed Sm8HC3Cl4 crystal (PBE, Alexandria via LeMat-Bulk).

Properties
D(E_F) in states/eV per cell: 14.10
Electronic total energy in Ry/atom: -0.4221
Theoretical density in g cm⁻³: 6.8

a b c (Å): 7.4509 7.4509 20.9429
angles (deg): 90.00 90.00 120.00
Closest atoms and distances in Å follow each position.
Space group R-3m (No. 166, hexagonal axes)
One atom of each set of equivalent atoms:
Sm  0.0000  0.0000  0.2303  3 C 2.53
Sm  0.0138  0.5069  0.7675  2 C 2.52, 1 H 2.63
H  0.0000  0.0000  0.5000  6 Sm 2.63
C  0.0000  0.5000  0.5000  6 Sm 2.52-2.53
Cl  0.0000  0.0000  0.0000  6 Sm 2.95
Cl  0.0000  0.5000  0.0000  6 Sm 3.05